Record 1
Computed, not measured: a relaxed ThMg4Sc3 crystal at the PBE-GGA level of DFT.

abc: 10.320 7.371 5.160
angles: 90.00 90.00 90.00
Space group Pmma (No. 51)
Inequivalent atoms, fractional coordinates:
1 Th 0.000 0.000 0.000 [2 per cell]
2 Mg 0.000 0.266 0.500 [4 per cell]
3 Mg 0.250 0.266 0.002 [4 per cell]
4 Sc 0.000 0.500 0.000 [2 per cell]
5 Sc 0.250 0.000 0.501 [2 per cell]
6 Sc 0.250 0.500 0.502 [2 per cell]



Record 2
Computed, not measured: a relaxed InSb2Se crystal at the PBE-GGA level of DFT.

Summary:
The energy relative to the elements, uncorrected is 0.107 eV per atom.

abc: 7.439 7.439 7.439
angles: 90.00 90.00 90.00
Space group F-43m (No. 216)
Inequivalent atoms, fractional coordinates:
1 In 0.000 0.000 0.000 [4 per cell]
2 Sb 0.000 0.000 0.500 [4 per cell]
3 Sb 0.250 0.250 0.750 [4 per cell]
4 Se 0.250 0.250 0.250 [4 per cell]



Record 3
Computed, not measured: a relaxed Dy6YMg crystal at the PBE-GGA level of DFT.

abc: 9.3743 9.3743 9.8473
angles: 90.00 90.00 120.00
Space group R-3 (No. 148, hexagonal axes)
Inequivalent atoms, fractional coordinates:
1 Dy 0.0194 0.2707 0.2230 [18 per cell]
2 Y 0.0000 0.0000 0.5000 [3 per cell]
3 Mg 0.0000 0.0000 0.0000 [3 per cell]



Record 4
Computed, not measured: a relaxed HgTe2Se crystal at the PBE-GGA level of DFT.

Summary:
The energy relative to the elements, uncorrected is 0.196 eV per atom.

abc: 3.757 5.992 9.859
angles: 90.00 90.00 90.00
Space group Immm (No. 71)
Inequivalent atoms, fractional coordinates:
1 Hg 0.000 0.000 0.000 [2 per cell]
2 Te 0.000 0.500 0.218 [4 per cell]
3 Se 0.000 0.000 0.500 [2 per cell]



Record 5
Computed, not measured: a relaxed IrWAu crystal at the PBE-GGA level of DFT.

abc: 2.856 2.856 11.913
angles: 90.00 90.00 90.00
Space group I4mm (No. 107)
Inequivalent atoms, fractional coordinates:
1 Ir 0.000 0.000 0.000 [2 per cell]
2 W 0.000 0.000 0.356 [2 per cell]
3 Au 0.000 0.000 0.682 [2 per cell]



Record 6
Computed, not measured: a relaxed K2NaMoBr6 crystal at the PBE-GGA level of DFT.

Summary:
The energy relative to the elements, uncorrected is -1.195 eV per atom.

abc: 7.5828 7.5828 41.6710
angles: 90.00 90.00 120.00
Space group R-3m (No. 166, hexagonal axes)
Inequivalent atoms, fractional coordinates:
1 K 0.0000 0.0000 0.1386 [6 per cell]
2 K 0.0000 0.0000 0.3076 [6 per cell]
3 Na 0.0000 0.0000 0.4154 [6 per cell]
4 Mo 0.0000 0.0000 0.0000 [3 per cell]
5 Mo 0.0000 0.0000 0.5000 [3 per cell]
6 Br 0.0077 0.5038 0.1302 [18 per cell]
7 Br 0.0107 0.5054 0.7033 [18 per cell]



Number 1: raw total energy -4.094 eV per atom. Number 2: raw total energy -3.510 eV per atom. Number 3: raw total energy -4.325 eV per atom. Number 4: raw total energy -2.322 eV per atom. Number 5: raw total energy -8.290 eV per atom. Number 6: raw total energy -3.633 eV per atom.